Entry 1:
Material: KYCu2
Method: DFT, GGA-PBE
State: relaxed

a b c (Å): 3.428 5.014 5.660
angles (deg): 90.00 93.38 90.00
Space group Pm (No. 6)
Symmetry-distinct sites (fractional):
K (0.000, 0.000, 0.000) (multiplicity 1)
Y (0.936, 0.500, 0.450) (multiplicity 1)
Cu (0.453, 0.000, 0.526) (multiplicity 1)
Cu (0.477, 0.500, 0.851) (multiplicity 1)

- size of the total moment (μB per atom) = 0.000
- energy of formation from the pure elements (eV per atom) = 0.289
- VASP energy (eV per atom) = -3.649
- energy above the lowest structure with this stoichiometry (kcal/mol of atoms) = 5.24



Entry 2:
Material: HfCoRe3
Method: DFT, GGA-PBE
State: relaxed

a b c (Å): 4.691 4.691 4.691
angles (deg): 90.00 90.00 90.00
Space group Pm-3m (No. 221)
Symmetry-distinct sites (fractional):
Hf (0.000, 0.000, 0.000) (multiplicity 1)
Co (0.500, 0.500, 0.500) (multiplicity 1)
Re (0.000, 0.000, 0.500) (multiplicity 3)

- size of the total moment (μB per atom) = 0.000
- energy of formation from the pure elements (eV per atom) = 2.867
- VASP energy (eV per atom) = -8.014
- energy above the lowest structure with this stoichiometry (kcal/mol of atoms) = 40.53



Entry 3:
Material: SrPmCuAs
Method: DFT, GGA-PBE
State: relaxed

a b c (Å): 7.372 7.372 7.372
angles (deg): 90.00 90.00 90.00
Space group F-43m (No. 216)
Symmetry-distinct sites (fractional):
Sr (0.000, 0.000, 0.000) (multiplicity 4)
Pm (0.000, 0.000, 0.500) (multiplicity 4)
Cu (0.250, 0.250, 0.750) (multiplicity 4)
As (0.250, 0.250, 0.250) (multiplicity 4)

- size of the total moment (μB per atom) = 0.000
- energy of formation from the pure elements (eV per atom) = -0.509
- VASP energy (eV per atom) = -4.304



Entry 4:
Material: In2PtSe
Method: DFT, GGA-PBE
State: relaxed

a b c (Å): 6.090 7.772 3.652
angles (deg): 90.00 101.08 90.00
Space group C2/m (No. 12)
Symmetry-distinct sites (fractional):
In (0.250, 0.250, 0.000) (multiplicity 4)
Pt (0.000, 0.000, 0.500) (multiplicity 2)
Se (0.000, 0.500, 0.500) (multiplicity 2)

- size of the total moment (μB per atom) = 0.000
- VASP energy (eV per atom) = -3.844
- formation energy from raw total energies (eV/atom) = -0.09



Entry 5:
Material: KS2N
Method: DFT, GGA-PBE
State: relaxed

a b c (Å): 5.2297 5.2297 17.9208
angles (deg): 90.00 90.00 120.00
Space group R-3m (No. 166, hexagonal axes)
Symmetry-distinct sites (fractional):
K (0.0000, 0.0000, 0.0000) (multiplicity 3)
S (0.0000, 0.0000, 0.4119) (multiplicity 6)
N (0.0000, 0.0000, 0.5000) (multiplicity 3)

- size of the total moment (μB per atom) = 0.500
- VASP energy (eV per atom) = -4.329
- formation energy from raw total energies (eV/atom) = 0.09



Entry 6:
Material: SrCo3Hg
Method: DFT, GGA-PBE
State: relaxed

a b c (Å): 4.905 4.905 4.905
angles (deg): 90.00 90.00 90.00
Space group Pm-3m (No. 221)
Symmetry-distinct sites (fractional):
Sr (0.000, 0.000, 0.000) (multiplicity 1)
Co (0.000, 0.500, 0.500) (multiplicity 3)
Hg (0.500, 0.500, 0.500) (multiplicity 1)

- size of the total moment (μB per atom) = 1.047
- energy of formation from the pure elements (eV per atom) = 1.079
- VASP energy (eV per atom) = -3.581
- energy above the lowest structure with this stoichiometry (kcal/mol of atoms) = 0.00